A plane-wave DFT calculation with PBE with a Hubbard U was carried out for a relaxed structure of FeTcF2.

Results
E_tot (eV for the cell shown): -21.84
Space group: R-3m, No. 166
Excess energy over the best structure of this formula in the dataset (meV/atom): 316
Magnetic moment (μB/cell): 3.34

a b c (Å): 8.0764 8.0764 8.0764
angles (deg): 19.09 19.09 19.09
Closest atoms and distances in Å follow each position.
Atoms (fractional coordinates):
F 0.9193 0.9193 0.9193  1 Fe 1.92
F 0.0807 0.0807 0.0807  1 Fe 1.92
Tc 0.5000 0.5000 0.5000  6 F 2.56, 6 Tc 2.68
Fe 0.0000 0.0000 0.0000  2 F 1.92